# 1
First-principles (SCAN) data for a PBEsol-optimized structure of TeCBr2, as listed in the Alexandria database.

Results
Its electronic total energy is -19.6450 eV per atom. As for the space-group type: Fm-3m, No. 225. The magnetization is 1.65 μB per cell.

Structure (POSCAR):
```
TeCBr2
1.0
4.9041 0.0000 0.0000
2.4520 4.2470 0.0000
2.4520 1.4157 4.0041
C Te Br
1 1 2
Direct
0.0000 0.0000 0.0000
0.5000 0.5000 0.5000
0.7500 0.7500 0.7500
0.2500 0.2500 0.2500
```

# 2
First-principles (SCAN) data for a PBEsol-optimized structure of TiC3Br, as listed in the Alexandria database.

Results
Its electronic total energy is -10.8140 eV per atom. As for the space-group type: Pm-3m, No. 221. The magnetization is 0.00 μB per cell.

Structure (POSCAR):
```
TiC3Br
1.0
-0.7920 -2.7294 -3.0062
4.0504 -0.7454 -0.3903
-0.2842 -3.0180 2.8150
C Br Ti
3 1 1
Direct
0.5000 0.0000 0.0000
0.0000 0.0000 0.5000
0.0000 0.5000 0.0000
0.5000 0.5000 0.5000
0.0000 0.0000 0.0000
```

# 3
First-principles (SCAN) data for a PBEsol-optimized structure of ZrTiC2Br, as listed in the Alexandria database.

Results
Its electronic total energy is -16.1468 eV per atom. As for the space-group type: P4/mmm, No. 123. The magnetization is 0.00 μB per cell.

Structure (POSCAR):
```
ZrTiC2Br
1.0
3.9769 0.0000 0.0000
0.0000 3.9769 0.0000
0.0000 0.0000 5.3240
Ti Br C Zr
1 1 2 1
Direct
0.0000 0.0000 0.0000
0.5000 0.5000 0.5000
0.0000 0.5000 0.0000
0.5000 0.0000 0.0000
0.0000 0.0000 0.5000
```

# 4
First-principles (SCAN) data for a PBEsol-optimized structure of TlCBr3, as listed in the Alexandria database.

Results
Its electronic total energy is -27.6084 eV per atom. As for the space-group type: Pm-3m, No. 221. The magnetization is 0.00 μB per cell.

Structure (POSCAR):
```
TlCBr3
1.0
4.8189 0.0000 0.0000
0.0000 4.8189 0.0000
0.0000 0.0000 4.8189
C Br Tl
1 3 1
Direct
0.0000 0.0000 0.0000
0.0000 0.5000 0.0000
0.0000 0.0000 0.5000
0.5000 0.0000 0.0000
0.5000 0.5000 0.5000
```

Result set for density of states at the Fermi level: 1.07; 0.80; 0.45; 0.03 states/eV per atom, one per record in the order listed.